Entry 1:
Crystalline NaAcBi2 at its relaxed geometry, computed with PBE.

Unit cell a=5.3472 b=5.3472 c=4.6511 alpha=90.00 beta=90.00 gamma=90.00
Fractional coordinates of all 4 atoms:
Na 0.0000 0.0000 0.0000
Ac 0.5000 0.5000 0.0000
Bi 0.0000 0.5000 0.5000
Bi 0.5000 0.0000 0.5000

Summary:
The formation energy comes out at -0.58 eV per atom. Its energy above the most stable polymorph in this dataset is 53 meV/atom. Its crystal system is tetragonal.

Entry 2:
Crystalline Th3Zn2Au9 at its relaxed geometry, computed with PBE.

Unit cell a=8.7095 b=8.7095 c=8.7095 alpha=151.25 beta=106.56 gamma=80.69
Fractional coordinates of all 14 atoms:
Th 0.0000 0.0000 0.0000
Th 0.2950 0.2950 0.0000
Th 0.7050 0.7050 0.0000
Zn 0.3160 0.5000 0.8160
Zn 0.6840 0.5000 0.1840
Au 0.0143 0.6454 0.3689
Au 0.1586 0.8606 0.2980
Au 0.2765 0.6454 0.6311
Au 0.4373 0.1394 0.2980
Au 0.5000 0.0000 0.5000
Au 0.5627 0.8606 0.7020
Au 0.7235 0.3546 0.3689
Au 0.8414 0.1394 0.7020
Au 0.9857 0.3546 0.6311

Summary:
The formation energy comes out at -0.50 eV per atom. Its crystal system is orthorhombic.

Entry 3:
Crystalline Mg4Cd2Ag3 at its relaxed geometry, computed with PBE.

Unit cell a=5.1218 b=5.1218 c=8.8528 alpha=102.87 beta=102.87 gamma=51.66
Fractional coordinates of all 9 atoms:
Mg 0.0185 0.0185 0.3375
Mg 0.3413 0.3413 0.1098
Mg 0.6587 0.6587 0.8902
Mg 0.9815 0.9815 0.6625
Cd 0.3165 0.3165 0.7688
Cd 0.6835 0.6835 0.2312
Ag 0.0000 0.0000 0.0000
Ag 0.3413 0.3413 0.4425
Ag 0.6587 0.6587 0.5575

Summary:
The formation energy comes out at -0.15 eV per atom. Its crystal system is monoclinic.

Entry 4:
Crystalline HgC2Br2 at its relaxed geometry, computed with PBE.

Unit cell a=8.2832 b=8.2832 c=3.1004 alpha=90.00 beta=90.00 gamma=90.00
Fractional coordinates of all 10 atoms:
Hg 0.0000 0.0000 0.0000
Hg 0.5000 0.5000 0.0000
C 0.2424 0.2576 0.0000
C 0.2576 0.7576 0.0000
C 0.7424 0.2424 0.0000
C 0.7576 0.7424 0.0000
Br 0.1408 0.6408 0.5000
Br 0.3592 0.1408 0.5000
Br 0.6408 0.8592 0.5000
Br 0.8592 0.3592 0.5000

Summary:
Its formation energy (no corrections) is 1.94 eV/atom. Its energy above the most stable polymorph in this dataset is 1168 meV/atom. Its crystal system is tetragonal.